(1)
NiOs2Au after structural relaxation. Source: Alexandria via LeMat-Bulk, functional GGA-PBE.

Cell: 2.6826 2.6826 9.3698 Å, 90.00 90.00 118.33°
Positions (direct):
Au 0.5000 0.5000 0.2500
Ni 0.5000 0.5000 0.7500
Os 0.0000 0.0000 0.9763
Os 0.0000 0.0000 0.5237

Space group: No. 65
ΔE to the lowest computed polymorph in meV/atom: 352

(2)
NiOs2Au after structural relaxation. Source: Alexandria via LeMat-Bulk, functional GGA-PBE.

Cell: 2.6963 3.7880 5.7228 Å, 90.00 90.00 90.00°
Positions (direct):
Au 0.5000 0.5000 0.2500
Ni 0.5000 0.5000 0.7500
Os 0.0000 0.0000 0.9640
Os 0.0000 0.0000 0.5360

Space group: No. 47
ΔE to the lowest computed polymorph in meV/atom: 294